# SrBiMo3

Crystalline SrBiMo3 at its relaxed geometry (PBE, the Alexandria database).

**Total magnetization**: 0.0 μB/cell
**Energy**: -5.6600 eV per atom
**DOS at the Fermi energy**: 9.48 states/eV/f.u.
**Energy of formation**: 1.95 eV/atom

Structure (CIF):
```
data_SrBiMo3
_symmetry_space_group_name_H-M 'P m -3 m'
_symmetry_Int_Tables_number 221
_symmetry_space_group_name_Hall '-P 4 2 3'
_cell_length_a 5.1526
_cell_length_b 5.1526
_cell_length_c 5.1526
_cell_angle_alpha 90.00
_cell_angle_beta 90.00
_cell_angle_gamma 90.00
loop_
_atom_site_label
_atom_site_fract_x
_atom_site_fract_y
_atom_site_fract_z
Sr1 0.0000 0.0000 0.0000
Bi1 0.5000 0.5000 0.5000
Mo1 0.0000 0.5000 0.5000
```

---

# SrBiMo2

Crystalline SrBiMo2 at its relaxed geometry (PBE, the Alexandria database).

**Total magnetization**: 5.6 μB/cell
**Energy**: -5.4556 eV per atom
**DOS at the Fermi energy**: 5.75 states/eV/f.u.
**Energy of formation**: 1.35 eV/atom

Structure (CIF):
```
data_SrBiMo2
_symmetry_space_group_name_H-M 'I -4 2 d'
_symmetry_Int_Tables_number 122
_symmetry_space_group_name_Hall 'I -4 2bw'
_cell_length_a 8.3036
_cell_length_b 8.3036
_cell_length_c 5.9424
_cell_angle_alpha 90.00
_cell_angle_beta 90.00
_cell_angle_gamma 90.00
loop_
_atom_site_label
_atom_site_fract_x
_atom_site_fract_y
_atom_site_fract_z
Sr1 0.0000 0.0000 0.0000
Bi1 0.0000 0.0000 0.5000
Mo1 0.2007 0.2500 0.6250
```

---

# SrBiMoW2

Crystalline SrBiMoW2 at its relaxed geometry (PBE, the Alexandria database).

**Total magnetization**: 0.0 μB/cell
**Energy**: -6.9567 eV per atom
**DOS at the Fermi energy**: 4.77 states/eV/f.u.
**Energy of formation**: 1.50 eV/atom

Structure (CIF):
```
data_SrBiMoW2
_symmetry_space_group_name_H-M 'P 4/m m m'
_symmetry_Int_Tables_number 123
_symmetry_space_group_name_Hall '-P 4 2'
_cell_length_a 4.7868
_cell_length_b 4.7868
_cell_length_c 5.7138
_cell_angle_alpha 90.00
_cell_angle_beta 90.00
_cell_angle_gamma 90.00
loop_
_atom_site_label
_atom_site_fract_x
_atom_site_fract_y
_atom_site_fract_z
Sr1 0.0000 0.0000 0.0000
Bi1 0.5000 0.5000 0.0000
Mo1 0.0000 0.0000 0.5000
W1 0.0000 0.5000 0.5000
```

---

# TaBiMo2

Crystalline TaBiMo2 at its relaxed geometry (PBE, the Alexandria database).

**Total magnetization**: 0.0 μB/cell
**Energy**: -8.3527 eV per atom
**DOS at the Fermi energy**: 2.79 states/eV/f.u.
**Energy of formation**: 1.00 eV/atom

Structure (CIF):
```
data_TaBiMo2
_symmetry_space_group_name_H-M 'I -4 2 d'
_symmetry_Int_Tables_number 122
_symmetry_space_group_name_Hall 'I -4 2bw'
_cell_length_a 4.1240
_cell_length_b 4.1240
_cell_length_c 19.4870
_cell_angle_alpha 90.00
_cell_angle_beta 90.00
_cell_angle_gamma 90.00
loop_
_atom_site_label
_atom_site_fract_x
_atom_site_fract_y
_atom_site_fract_z
Ta1 0.0000 0.0000 0.0000
Bi1 0.0000 0.0000 0.5000
Mo1 0.1951 0.2500 0.1250
```